The following is a PBE calculation of a relaxed V2PH crystal, from the Alexandria database.

abc: 6.0867 6.0867 6.0867
angles: 27.89 27.89 27.89
Fractional positions:
V  0.0000  0.0000  0.0000
V  0.1381  0.1381  0.1381
P  0.5694  0.5694  0.5694
H  0.7447  0.7447  0.7447

Results
spin magnetization: 0.000 μB per atom
final energy: -6.82 eV per atom